VASP calculation (PBE) on a relaxed structure of YThCuAg.

Properties
ΔE_f = -0.11 eV per atom
E = -5.316 eV/atom
volume = 95.9 Å³/f.u.

Unit cell a=5.139 b=5.139 c=5.139 alpha=60.00 beta=60.00 gamma=60.00
Fractional coordinates of all 4 atoms:
Y 0.750 0.750 0.750
Cu 0.000 0.000 0.000
Ag 0.500 0.500 0.500
Th 0.250 0.250 0.250